1.
NdPuAlO6: optimized geometry, GGA-PBE.

Lattice parameters (Å, degrees): 5.2711 5.2711 10.2524 90.00 90.00 120.00
Space group P-31c (No. 163)
Symmetry-distinct sites (fractional):
1 Nd 0.0000 0.0000 0.0000 [2 per cell]
2 Pu 0.3333 0.6667 0.2500 [2 per cell]
3 Al 0.3333 0.6667 0.7500 [2 per cell]
4 O 0.0191 0.3715 0.6439 [12 per cell]

Values from the calculation:
D(E_F) in states/eV/cell: 14.87

=====

2.
NdPuAl2O8: optimized geometry, GGA-PBE.

Lattice parameters (Å, degrees): 7.3312 6.0622 7.3093 90.00 90.14 90.00
Space group C2/m (No. 12)
Symmetry-distinct sites (fractional):
1 Nd 0.0000 0.0000 0.0000 [2 per cell]
2 Pu 0.0000 0.0000 0.5000 [2 per cell]
3 Al 0.0005 0.5000 0.1816 [4 per cell]
4 O 0.0001 0.2297 0.2726 [8 per cell]
5 O 0.1715 0.5000 0.0000 [4 per cell]
6 O 0.2456 0.0000 0.5012 [4 per cell]

=====

3.
Rb3NdAl2O6: optimized geometry, GGA-PBE.

Lattice parameters (Å, degrees): 6.2065 6.2065 7.4652 90.00 90.00 120.00
Space group P-3m1 (No. 164)
Symmetry-distinct sites (fractional):
1 Rb 0.0000 0.0000 0.0000 [1 per cell]
2 Rb 0.3333 0.6667 0.7498 [2 per cell]
3 Nd 0.0000 0.0000 0.5000 [1 per cell]
4 Al 0.3333 0.6667 0.2986 [2 per cell]
5 O 0.1741 0.3483 0.2994 [6 per cell]

Values from the calculation:
D(E_F) in states/eV/cell: 0.00

=====

4.
NdAl2ReO8: optimized geometry, GGA-PBE.

Lattice parameters (Å, degrees): 7.2600 6.1507 6.7086 90.00 100.07 90.00
Space group C2/m (No. 12)
Symmetry-distinct sites (fractional):
1 Nd 0.0000 0.0000 0.0000 [2 per cell]
2 Al 0.0464 0.5000 0.2111 [4 per cell]
3 Re 0.0000 0.0000 0.5000 [2 per cell]
4 O 0.0073 0.2163 0.2952 [8 per cell]
5 O 0.1686 0.5000 0.9947 [4 per cell]
6 O 0.2429 0.5000 0.4341 [4 per cell]

=====

no.,formation energy (no corrections) (meV/atom),magnetization (μB per formula unit)
1,-2863,2.00
2,-2700,1.00
3,-2335,0.00
4,-2416,0.00